Material: ZrSnS4
Method: DFT, GGA-PBE
State: optimized geometry

Size of the total moment in μB per cell: 0.03
VASP energy in eV per atom: -5.725
Symmetry: Pmn2_1, No. 31
Crystal system: orthorhombic

a = 3.6817 Å, b = 6.4697 Å, c = 12.8355 Å
α = 90.00°, β = 90.00°, γ = 90.00°
Atoms (fractional coordinates):
Zr (0.0000, 0.0294, 0.0000)
Zr (0.5000, 0.9706, 0.5000)
Sn (0.0000, 0.4719, 0.4973)
Sn (0.5000, 0.5281, 0.9973)
S (0.0000, 0.1327, 0.6132)
S (0.0000, 0.3694, 0.1127)
S (0.0000, 0.6909, 0.8839)
S (0.0000, 0.8114, 0.3844)
S (0.5000, 0.1886, 0.8844)
S (0.5000, 0.3091, 0.3839)
S (0.5000, 0.6306, 0.6127)
S (0.5000, 0.8673, 0.1132)